(1)
VASP calculation (PBE) on a geometry-optimized NaZn3Ru structure.

The calculation puts the distance to the lowest polymorph of the same formula at 0 meV/atom. The value obtained for the volume is 112.76 Å³/cell. Its formation energy is 0.189 eV/atom. The total DFT energy (no corrections) comes out at -13.5 eV per cell.

It has space group Pm-3m (No. 221), with a = 4.831 Å, b = 4.831 Å, c = 4.831 Å, α = 90.00°, β = 90.00° and γ = 90.00°. The distinct sites, in fractional coordinates, are Na at (0.000, 0.000, 0.000), Zn at (0.000, 0.500, 0.500) and Ru at (0.500, 0.500, 0.500).


(2)
VASP calculation (PBE) on a geometry-optimized NaZr3Ru structure.

The calculation puts the distance to the lowest polymorph of the same formula at 0 meV/atom. The value obtained for the volume is 133.33 Å³/cell. Its formation energy is 0.381 eV/atom. The total DFT energy (no corrections) comes out at -34.3 eV per cell.

It has space group Pm-3m (No. 221), with a = 5.109 Å, b = 5.109 Å, c = 5.109 Å, α = 90.00°, β = 90.00° and γ = 90.00°. The distinct sites, in fractional coordinates, are Na at (0.000, 0.000, 0.000), Zr at (0.000, 0.500, 0.500) and Ru at (0.500, 0.500, 0.500).


(3)
VASP calculation (PBE) on a geometry-optimized NaZr3Ru structure.

The calculation puts the distance to the lowest polymorph of the same formula at 1392 meV/atom. The value obtained for the volume is 113.51 Å³/cell. Its formation energy is 1.773 eV/atom. The total DFT energy (no corrections) comes out at -27.4 eV per cell.

It has space group Pm-3m (No. 221), with a = 4.842 Å, b = 4.842 Å, c = 4.842 Å, α = 90.00°, β = 90.00° and γ = 90.00°. The distinct sites, in fractional coordinates, are Na at (0.000, 0.000, 0.000), Zr at (0.000, 0.000, 0.500) and Ru at (0.500, 0.500, 0.500).


(4)
VASP calculation (PBE) on a geometry-optimized NaS4 structure.

The calculation puts the distance to the lowest polymorph of the same formula at 0 meV/atom. The value obtained for the volume is 306.94 Å³/cell. The total DFT energy (no corrections) comes out at -37.9 eV per cell. The calculation puts the raw formation energy at -220.6 meV per atom.

It has space group P2_1/c (No. 14), with a = 6.747 Å, b = 6.367 Å, c = 8.926 Å, α = 90.00°, β = 126.82° and γ = 90.00°. The distinct sites, in fractional coordinates, are Na at (0.000, 0.000, 0.000), S at (0.126, 0.229, 0.322) and S at (0.358, 0.019, 0.516).


(5)
VASP calculation (PBE) on a geometry-optimized NaS5 structure.

The calculation puts the distance to the lowest polymorph of the same formula at 581 meV/atom. The value obtained for the volume is 315.62 Å³/cell. The total DFT energy (no corrections) comes out at -39.0 eV per cell. The calculation puts the raw formation energy at 405.6 meV per atom.

It has space group Cmmm (No. 65), with a = 3.373 Å, b = 26.258 Å, c = 3.564 Å, α = 90.00°, β = 90.00° and γ = 90.00°. The distinct sites, in fractional coordinates, are Na at (0.000, 0.000, 0.000), S at (0.000, 0.163, 0.500), S at (0.000, 0.334, 0.000) and S at (0.000, 0.500, 0.500).


(6)
VASP calculation (PBE) on a geometry-optimized Na4S structure.

The value obtained for the volume is 164.07 Å³/cell. The total DFT energy (no corrections) comes out at -11.9 eV per cell. The calculation puts the raw formation energy at -498.2 meV per atom.

It has space group Pm-3m (No. 221), with a = 5.474 Å, b = 5.474 Å, c = 5.474 Å, α = 90.00°, β = 90.00° and γ = 90.00°. The distinct sites, in fractional coordinates, are Na at (0.000, 0.000, 0.000), Na at (0.000, 0.500, 0.500) and S at (0.500, 0.500, 0.500).